{"formula": "NaMgV2F", "functional": "GGA+U", "state": "optimized geometry", "lattice": [[4.524, 0.000, 0.000], [0.000, 4.749, 0.000], [0.000, 0.000, 4.524]], "species": ["Na", "V", "V", "F", "Mg"], "fractional_positions": [[0.000, 0.500, 0.000], [0.500, 0.000, 0.000], [0.000, 0.000, 0.500], [0.000, 0.000, 0.000], [0.500, 0.500, 0.500]], "relative_energy_mev_per_atom": 0, "density_g_cm3": 2.9}